1.
Density functional theory data (GGA-PBE) for crystalline Pm3NdPd3 at its relaxed geometry.

Computed properties:
DFT formation energy: -58.7 kJ per mole of atoms
Density: 8.1 g/cm³
Size of the total moment: 0.0 μB per cell

Lattice parameters (Å, degrees): 7.1729 7.1729 7.2374 90.90 90.90 96.69
Closest atoms and distances in Å follow each position.
Element x y z (fractional)
Pm: 0.1775 0.8225 0.0000  6 Pd 2.89-3.07
Pm: 0.2496 0.7504 0.5000  6 Pd 3.08-3.14
Pm: 0.3444 0.3444 0.1289  3 Pd 2.95-3.01
Pm: 0.6556 0.6556 0.8711  3 Pd 2.95-3.01
Pm: 0.7504 0.2496 0.5000  6 Pd 3.08-3.14
Pm: 0.8225 0.1775 0.0000  6 Pd 2.89-3.07
Nd: 0.2613 0.2613 0.6239  4 Pd 2.88-3.14
Nd: 0.7387 0.7387 0.3761  4 Pd 2.88-3.14
Pd: 0.0099 0.5062 0.7780  1 Nd 2.88, 5 Pm 2.89-3.14, 1 Pd 3.22
Pd: 0.0629 0.0629 0.3081  2 Nd 2.93-3.14, 5 Pm 2.98-3.08, 3 Pd 3.05-3.26
Pd: 0.4938 0.9901 0.2220  1 Nd 2.88, 5 Pm 2.89-3.14, 1 Pd 3.22
Pd: 0.5062 0.0099 0.7780  1 Nd 2.88, 5 Pm 2.89-3.14, 1 Pd 3.22
Pd: 0.9371 0.9371 0.6919  2 Nd 2.93-3.14, 5 Pm 2.98-3.08, 3 Pd 3.05-3.26
Pd: 0.9901 0.4938 0.2220  1 Nd 2.88, 5 Pm 2.89-3.14, 1 Pd 3.22

2.
Density functional theory data (GGA-PBE) for crystalline AlFeTcAg2 at its relaxed geometry.

Computed properties:
DFT formation energy: 111.7 kJ per mole of atoms
Density: 6.7 g/cm³
Size of the total moment: 4.0 μB per cell

Lattice parameters (Å, degrees): 4.6144 4.6144 4.5985 90.00 90.00 90.00
Closest atoms and distances in Å follow each position.
Element x y z (fractional)
Al: 0.0000 0.0000 0.0000  2 Tc 2.30, 4 Ag 2.31
Fe: 0.5000 0.5000 0.5000  8 Ag 3.26, 4 Tc 3.26
Tc: 0.0000 0.0000 0.5000  2 Al 2.30
Ag: 0.0000 0.5000 0.0000  2 Al 2.31
Ag: 0.5000 0.0000 0.0000  2 Al 2.31

3.
Density functional theory data (GGA-PBE) for crystalline Zn2SbTe at its relaxed geometry.

Computed properties:
ΔE_f (raw): 0.203 eV per atom
Density: 6.9 g/cm³
Size of the total moment: 0.0 μB per cell

Lattice parameters (Å, degrees): 4.9194 4.9194 3.8089 90.00 90.00 98.59
Closest atoms and distances in Å follow each position.
Element x y z (fractional)
Zn: 0.0000 0.5000 0.0000  4 Sb 3.11, 4 Te 3.11, 2 Zn 3.21
Zn: 0.5000 0.0000 0.0000  4 Sb 3.11, 4 Te 3.11, 2 Zn 3.21
Sb: 0.0000 0.0000 0.5000  8 Zn 3.11, 2 Te 3.21
Te: 0.5000 0.5000 0.5000  8 Zn 3.11, 2 Sb 3.21

4.
Density functional theory data (GGA-PBE) for crystalline ScTeAu2 at its relaxed geometry.

Computed properties:
ΔE_f (raw): -0.393 eV per atom
Density: 10.6 g/cm³
Size of the total moment: 0.0 μB per cell

Lattice parameters (Å, degrees): 5.9717 5.9717 5.9717 141.61 137.13 58.89
Closest atoms and distances in Å follow each position.
Element x y z (fractional)
Sc: 0.0000 0.0000 0.0000  6 Au 2.90-2.94, 2 Te 2.95
Te: 0.7882 0.2882 0.5000  2 Sc 2.95, 6 Au 3.06-3.22
Au: 0.2056 0.7056 0.5000  2 Sc 2.90, 2 Au 2.94, 4 Te 3.06
Au: 0.5164 0.5164 0.0000  2 Au 2.94, 4 Sc 2.94, 2 Te 3.22

5.
Density functional theory data (GGA-PBE) for crystalline Ho7TlRu2 at its relaxed geometry.

Computed properties:
DFT formation energy: -10.6 kJ per mole of atoms
Density: 8.3 g/cm³
Size of the total moment: 0.0 μB per cell

Lattice parameters (Å, degrees): 8.0809 8.0809 5.2181 90.00 90.00 113.94
Closest atoms and distances in Å follow each position.
Element x y z (fractional)
Ho: 0.0000 0.0000 0.0000  2 Ru 2.70
Ho: 0.1817 0.4468 0.0000  2 Ru 2.81-2.91
Ho: 0.2181 0.7819 0.5000  2 Ru 2.62
Ho: 0.4468 0.1817 0.0000  2 Ru 2.81-2.91
Ho: 0.5532 0.8183 0.0000  2 Ru 2.81-2.91
Ho: 0.7819 0.2181 0.5000  2 Ru 2.62
Ho: 0.8183 0.5532 0.0000  2 Ru 2.81-2.91
Tl: 0.5000 0.5000 0.5000  10 Ho 3.57-3.82
Ru: 0.1992 0.8008 0.0000  7 Ho 2.62-2.91
Ru: 0.8008 0.1992 0.0000  7 Ho 2.62-2.91

6.
Density functional theory data (GGA-PBE) for crystalline Pa3Hg at its relaxed geometry.

Computed properties:
DFT formation energy: 6.2 kJ per mole of atoms
Density: 15.0 g/cm³
E above lowest polymorph: 70.1 meV/atom
Size of the total moment: 0.0 μB per cell

Lattice parameters (Å, degrees): 3.1800 3.1800 11.2659 90.00 90.00 119.62
Closest atoms and distances in Å follow each position.
Element x y z (fractional)
Pa: 0.0000 0.0000 0.0000  10 Pa 3.18-3.20
Pa: 0.5000 0.5000 0.2455  8 Pa 3.18-3.20, 2 Hg 3.28
Pa: 0.5000 0.5000 0.7545  8 Pa 3.18-3.20, 2 Hg 3.28
Hg: 0.0000 0.0000 0.5000  6 Hg 3.18-3.20, 4 Pa 3.28

7.
Density functional theory data (GGA-PBE) for crystalline CaAlI2N at its relaxed geometry.

Computed properties:
ΔE_f (raw): 0.138 eV per atom
Density: 3.1 g/cm³
E above lowest polymorph: 586.1 meV/atom
Size of the total moment: 2.0 μB per cell

Lattice parameters (Å, degrees): 6.2164 6.2164 4.7117 90.00 90.00 90.00
Closest atoms and distances in Å follow each position.
Element x y z (fractional)
Ca: 0.0000 0.0000 0.0000  2 N 2.36
Al: 0.5000 0.5000 0.5000  8 I 3.90
I: 0.0000 0.5000 0.0000  2 Ca 3.11
I: 0.5000 0.0000 0.0000  2 Ca 3.11
N: 0.0000 0.0000 0.5000  2 Ca 2.36

8.
Density functional theory data (GGA-PBE) for crystalline NaLiZrC2 at its relaxed geometry.

Computed properties:
DFT formation energy: 182.0 kJ per mole of atoms
Density: 3.7 g/cm³
Size of the total moment: 0.0 μB per cell

Lattice parameters (Å, degrees): 3.9652 3.9652 4.1026 90.00 90.00 90.00
Closest atoms and distances in Å follow each position.
Element x y z (fractional)
Na: 0.0000 0.0000 0.0000  4 Zr 2.80, 8 C 2.85
Li: 0.5000 0.5000 0.5000  4 C 1.98, 2 Zr 2.05
Zr: 0.5000 0.5000 0.0000  2 Li 2.05
C: 0.0000 0.5000 0.5000  2 Li 1.98
C: 0.5000 0.0000 0.5000  2 Li 1.98

9.
Density functional theory data (GGA-PBE) for crystalline CdAgSbS4 at its relaxed geometry.

Computed properties:
ΔE_f (raw): -0.193 eV per atom
Density: 4.8 g/cm³
Size of the total moment: 0.0 μB per cell

Lattice parameters (Å, degrees): 7.7570 7.7570 7.7570 120.47 120.23 89.40
Closest atoms and distances in Å follow each position.
Element x y z (fractional)
Cd: 0.5000 0.0000 0.0000  6 S 2.65-2.79
Cd: 0.5000 0.5000 0.5000  6 S 2.65-2.79
Ag: 0.1033 0.3533 0.7500  4 S 2.48-2.60
Ag: 0.8967 0.6467 0.2500  4 S 2.48-2.60
Sb: 0.0000 0.0000 0.0000  6 S 2.51-2.64
Sb: 0.5000 0.0000 0.5000  6 S 2.51-2.64
S: 0.2434 0.2275 0.0159  1 Ag 2.48, 1 Sb 2.51, 2 Cd 2.65
S: 0.2476 0.2309 0.4833  1 Ag 2.60, 2 Sb 2.64, 1 Cd 2.79
S: 0.2476 0.7643 0.0167  1 Ag 2.60, 2 Sb 2.64, 1 Cd 2.79
S: 0.2884 0.7725 0.5159  1 Ag 2.48, 1 Sb 2.51, 2 Cd 2.65
S: 0.7116 0.2275 0.4841  1 Ag 2.48, 1 Sb 2.51, 2 Cd 2.65
S: 0.7524 0.2357 0.9833  1 Ag 2.60, 2 Sb 2.64, 1 Cd 2.79
S: 0.7524 0.7691 0.5167  1 Ag 2.60, 2 Sb 2.64, 1 Cd 2.79
S: 0.7566 0.7725 0.9841  1 Ag 2.48, 1 Sb 2.51, 2 Cd 2.65

10.
Density functional theory data (GGA-PBE) for crystalline Tb3AsSe6 at its relaxed geometry.

Computed properties:
ΔE_f (raw): -1.393 eV per atom
Density: 6.3 g/cm³
Size of the total moment: 0.0 μB per cell

Lattice parameters (Å, degrees): 8.8990 8.8990 6.9857 90.00 90.00 102.89
Closest atoms and distances in Å follow each position.
Element x y z (fractional)
Tb: 0.0965 0.9035 0.5000  7 Se 2.91-3.01
Tb: 0.2192 0.4176 0.6018  7 Se 2.85-3.11
Tb: 0.4176 0.2192 0.1018  7 Se 2.85-3.11
Tb: 0.5824 0.7808 0.6018  7 Se 2.85-3.11
Tb: 0.7808 0.5824 0.1018  7 Se 2.85-3.11
Tb: 0.9035 0.0965 0.0000  7 Se 2.91-3.01
As: 0.3214 0.6786 0.1239  3 Se 2.48-2.67
As: 0.6786 0.3214 0.6239  3 Se 2.48-2.67
Se: 0.0762 0.5977 0.3048  1 As 2.48
Se: 0.1333 0.1960 0.2992  4 Tb 2.85-2.92
Se: 0.1960 0.1333 0.7992  4 Tb 2.85-2.92
Se: 0.2675 0.7325 0.7569  1 As 2.67, 3 Tb 2.94-2.98
Se: 0.4023 0.9238 0.3048  1 As 2.48
Se: 0.4876 0.5124 0.3583  1 As 2.83, 4 Tb 2.90-3.11
Se: 0.5124 0.4876 0.8583  1 As 2.83, 4 Tb 2.90-3.11
Se: 0.5977 0.0762 0.8048  1 As 2.48
Se: 0.7325 0.2675 0.2569  1 As 2.67, 3 Tb 2.94-2.98
Se: 0.8040 0.8667 0.2992  4 Tb 2.85-2.92
Se: 0.8667 0.8040 0.7992  4 Tb 2.85-2.92
Se: 0.9238 0.4023 0.8048  1 As 2.48

11.
Density functional theory data (GGA-PBE) for crystalline Ge2RhAu at its relaxed geometry.

Computed properties:
DFT formation energy: 4.4 kJ per mole of atoms
Density: 11.2 g/cm³
E above lowest polymorph: 238.5 meV/atom
Size of the total moment: 0.0 μB per cell

Lattice parameters (Å, degrees): 4.5412 4.5412 4.5412 60.00 60.00 60.00
Closest atoms and distances in Å follow each position.
Element x y z (fractional)
Ge: 0.2500 0.2500 0.2500  4 Rh 2.78, 4 Au 2.78
Ge: 0.7500 0.7500 0.7500  4 Au 2.78, 4 Rh 2.78
Rh: 0.0000 0.0000 0.0000  8 Ge 2.78
Au: 0.5000 0.5000 0.5000  8 Ge 2.78

12.
Density functional theory data (GGA-PBE) for crystalline LiYSn at its relaxed geometry.

Computed properties:
DFT formation energy: -7.7 kJ per mole of atoms
Density: 4.0 g/cm³
Size of the total moment: 0.0 μB per cell

Lattice parameters (Å, degrees): 5.0054 5.0054 5.0054 60.00 60.00 60.00
Closest atoms and distances in Å follow each position.
Element x y z (fractional)
Li: 0.0000 0.0000 0.0000  4 Y 3.07
Y: 0.2500 0.2500 0.2500  4 Sn 3.07, 4 Li 3.07
Sn: 0.5000 0.5000 0.5000  4 Y 3.07

| no. | final energy (eV per atom) |
| --- | --- |
| 1 | -5.551 |
| 2 | -4.498 |
| 3 | -2.250 |
| 4 | -4.400 |
| 5 | -5.406 |
| 6 | -7.133 |
| 7 | -3.296 |
| 8 | -4.160 |
| 9 | -3.678 |
| 10 | -5.338 |
| 11 | -4.920 |
| 12 | -4.207 |